No. 1
VASP calculation (PBE) on a relaxed NbTl2Bi crystal.

Output
- space group = Fm-3m, No. 225
- calculated formation energy (eV per atom) = 0.68
- distance to the lowest polymorph of the same formula (eV/atom) = 0.027
- size of the total moment (μB/atom) = 0.740

Geometry as POSCAR:
```
NbTl2Bi
1.0
0.6587 -4.8890 -2.0108
-4.0675 -3.4400 -0.0252
-2.3386 -1.3259 -4.5991
Nb Tl Bi
1 2 1
direct
0.0000 0.0000 0.0000
0.2500 0.2500 0.2500
0.7500 0.7500 0.7500
0.5000 0.5000 0.5000
```

---

No. 2
VASP calculation (PBE) on a relaxed Nb3TlBi crystal.

Output
- space group = Pm-3m, No. 221
- calculated formation energy (eV per atom) = 1.76
- distance to the lowest polymorph of the same formula (eV/atom) = 0.000
- size of the total moment (μB/atom) = 0.000

Geometry as POSCAR:
```
Nb3TlBi
1.0
5.1849 0.0000 0.0000
0.0000 5.1849 0.0000
0.0000 0.0000 5.1849
Nb Bi Tl
3 1 1
direct
0.0000 0.5000 0.0000
0.5000 0.0000 0.0000
0.0000 0.0000 0.5000
0.0000 0.0000 0.0000
0.5000 0.5000 0.5000
```

---

No. 3
VASP calculation (PBE) on a relaxed Nb3VBi crystal.

Output
- space group = Pm-3m, No. 221
- calculated formation energy (eV per atom) = 0.81
- distance to the lowest polymorph of the same formula (eV/atom) = 0.000
- size of the total moment (μB/atom) = 0.000

Geometry as POSCAR:
```
Nb3VBi
1.0
-3.0623 3.3489 1.3882
-3.6191 -2.9294 -0.9168
0.2100 -1.6504 4.4444
V Nb Bi
1 3 1
direct
0.0000 0.0000 0.0000
0.0000 0.0000 0.5000
0.5000 0.0000 0.0000
0.0000 0.5000 0.0000
0.5000 0.5000 0.5000
```

---

No. 4
VASP calculation (PBE) on a relaxed NbV4Bi crystal.

Output
- space group = F-43m, No. 216
- calculated formation energy (eV per atom) = 0.18
- size of the total moment (μB/atom) = 0.000

Geometry as POSCAR:
```
NbV4Bi
1.0
-2.8948 -3.1709 2.8369
2.0985 -2.5755 3.9302
-1.2101 1.2596 4.8407
Bi Nb V
1 1 4
direct
0.2500 0.2500 0.2500
0.0000 0.0000 0.0000
0.6270 0.6270 0.1190
0.6270 0.6270 0.6270
0.1190 0.6270 0.6270
0.6270 0.1190 0.6270
```

---

No. 5
VASP calculation (PBE) on a relaxed NbV3Bi crystal.

Output
- space group = Pm-3m, No. 221
- calculated formation energy (eV per atom) = 1.24
- distance to the lowest polymorph of the same formula (eV/atom) = 0.000
- size of the total moment (μB/atom) = 0.000

Geometry as POSCAR:
```
NbV3Bi
1.0
4.6863 0.0000 0.0000
0.0000 4.6863 0.0000
0.0000 0.0000 4.6863
V Bi Nb
3 1 1
direct
0.0000 0.5000 0.0000
0.5000 0.0000 0.0000
0.0000 0.0000 0.5000
0.5000 0.5000 0.5000
0.0000 0.0000 0.0000
```

---

No. 6
VASP calculation (PBE) on a relaxed Nb2VBi crystal.

Output
- space group = I-42d, No. 122
- calculated formation energy (eV per atom) = 0.67
- size of the total moment (μB/atom) = 0.451

Geometry as POSCAR:
```
Nb2VBi
1.0
-2.9915 2.3638 1.2402
-2.2093 -3.2380 0.8424
1.2299 -0.5774 10.5478
Nb V Bi
4 2 2
direct
0.8750 0.8693 0.7500
0.1307 0.6250 0.2500
0.3750 0.3807 0.7500
0.6193 0.1250 0.2500
0.2500 0.7500 0.5000
0.5000 0.5000 0.0000
0.7500 0.2500 0.5000
0.0000 0.0000 0.0000
```

---

Copy entry 3 word for word.
VASP calculation (PBE) on a relaxed Nb3VBi crystal.

Output
- space group = Pm-3m, No. 221
- calculated formation energy (eV per atom) = 0.81
- distance to the lowest polymorph of the same formula (eV/atom) = 0.000
- size of the total moment (μB/atom) = 0.000

Geometry as POSCAR:
```
Nb3VBi
1.0
-3.0623 3.3489 1.3882
-3.6191 -2.9294 -0.9168
0.2100 -1.6504 4.4444
V Nb Bi
1 3 1
direct
0.0000 0.0000 0.0000
0.0000 0.0000 0.5000
0.5000 0.0000 0.0000
0.0000 0.5000 0.0000
0.5000 0.5000 0.5000
```

---

Which formula does entry 1 have?
NbTl2Bi

---

What is the size of the total moment in the first record?
0.740 μB/atom